(1)
! AgAuN, relaxed, DFT PBE-GGA; values from VASP
&SYSTEM
  ibrav = 0, nat = 6, ntyp = 3
/
ATOMIC_SPECIES
Au 196.97 Au.upf
N 14.01 N.upf
Ag 107.87 Ag.upf
ATOMIC_POSITIONS crystal
Au 0.227 0.227 0.067
N 0.988 0.988 0.536
Ag 0.682 0.682 0.196
Ag 0.318 0.318 0.804
Au 0.773 0.773 0.933
N 0.012 0.012 0.464
CELL_PARAMETERS angstrom
2.958 0.000 0.289
-0.028 2.958 0.289
-0.484 -0.488 15.602
! ρ = 7.711 Mg/m³
! Formation energy (no corrections) = 0.186 eV/atom
! E above lowest polymorph = 0 meV per atom


(2)
! TlGa2CuHg, relaxed, DFT PBE-GGA; values from VASP
&SYSTEM
  ibrav = 0, nat = 5, ntyp = 4
/
ATOMIC_SPECIES
Hg 200.59 Hg.upf
Cu 63.55 Cu.upf
Tl 204.38 Tl.upf
Ga 69.72 Ga.upf
ATOMIC_POSITIONS crystal
Hg 0.500 0.500 0.500
Cu 0.000 0.000 0.000
Tl 0.000 0.000 0.500
Ga 0.000 0.500 0.000
Ga 0.500 0.000 0.000
CELL_PARAMETERS angstrom
-2.394 0.256 4.024
2.330 -3.732 1.623
3.917 3.365 2.116
! ρ = 8.228 Mg/m³
! E above lowest polymorph = 10 meV per atom


(3)
! Pa2CuSn, relaxed, DFT PBE-GGA; values from VASP
&SYSTEM
  ibrav = 0, nat = 4, ntyp = 3
/
ATOMIC_SPECIES
Pa 231.04 Pa.upf
Cu 63.55 Cu.upf
Sn 118.71 Sn.upf
ATOMIC_POSITIONS crystal
Pa 0.000 0.000 0.769
Cu 0.500 0.500 0.000
Pa 0.000 0.000 0.231
Sn 0.500 0.500 0.500
CELL_PARAMETERS angstrom
3.904 0.000 0.000
0.000 3.904 0.000
0.000 0.000 6.101
! ρ = 11.505 Mg/m³
! E above lowest polymorph = 100 meV per atom


(4)
! LiGdInGa, relaxed, DFT PBE-GGA; values from VASP
&SYSTEM
  ibrav = 0, nat = 4, ntyp = 4
/
ATOMIC_SPECIES
Ga 69.72 Ga.upf
In 114.82 In.upf
Gd 157.25 Gd.upf
Li 6.94 Li.upf
ATOMIC_POSITIONS crystal
Ga 0.250 0.250 0.250
In 0.750 0.750 0.750
Gd 0.000 0.000 0.000
Li 0.500 0.500 0.500
CELL_PARAMETERS angstrom
-3.215 -3.643 -1.261
1.720 -4.331 -1.866
-0.248 -4.192 2.750
! E_tot = -23.4 eV for the cell shown
! ρ = 6.476 Mg/m³


(5)
! MnHgOsSe2, relaxed, DFT PBE-GGA; values from VASP
&SYSTEM
  ibrav = 0, nat = 5, ntyp = 4
/
ATOMIC_SPECIES
Se 78.96 Se.upf
Mn 54.94 Mn.upf
Os 190.23 Os.upf
Hg 200.59 Hg.upf
ATOMIC_POSITIONS crystal
Se 0.000 0.000 0.500
Mn 0.000 0.500 0.000
Os 0.500 0.500 0.500
Se 0.500 0.000 0.000
Hg 0.000 0.000 0.000
CELL_PARAMETERS angstrom
-3.878 3.025 1.346
0.567 -1.364 4.702
3.258 3.854 0.725
! ρ = 7.822 Mg/m³
! Formation energy (no corrections) = 1.997 eV/atom


(6)
! Pr2Br4Cl, relaxed, DFT PBE-GGA; values from VASP
&SYSTEM
  ibrav = 0, nat = 7, ntyp = 3
/
ATOMIC_SPECIES
Br 79.90 Br.upf
Cl 35.45 Cl.upf
Pr 140.91 Pr.upf
ATOMIC_POSITIONS crystal
Br 0.902 0.902 0.294
Cl 0.500 0.500 0.500
Br 0.700 0.700 0.899
Br 0.098 0.098 0.706
Br 0.300 0.300 0.101
Pr 0.592 0.592 0.223
Pr 0.408 0.408 0.777
CELL_PARAMETERS angstrom
-4.746 0.569 -2.026
-1.163 -2.216 -4.548
-4.967 -8.690 2.542
! ρ = 4.585 Mg/m³
! Formation energy (no corrections) = -1.732 eV/atom


(7)
! Er2NiCl, relaxed, DFT PBE-GGA; values from VASP
&SYSTEM
  ibrav = 0, nat = 4, ntyp = 3
/
ATOMIC_SPECIES
Cl 35.45 Cl.upf
Er 167.26 Er.upf
Ni 58.69 Ni.upf
ATOMIC_POSITIONS crystal
Cl 0.500 0.500 0.500
Er 0.267 0.267 0.200
Er 0.733 0.733 0.800
Ni 0.000 0.000 0.000
CELL_PARAMETERS angstrom
3.854 0.000 0.000
1.927 3.338 0.000
1.927 1.113 7.223
! ρ = 7.661 Mg/m³
! Formation energy (no corrections) = -0.922 eV/atom
! E above lowest polymorph = 0 meV per atom


(8)
! FeOsRu3, relaxed, DFT PBE-GGA; values from VASP
&SYSTEM
  ibrav = 0, nat = 5, ntyp = 3
/
ATOMIC_SPECIES
Ru 101.07 Ru.upf
Fe 55.84 Fe.upf
Os 190.23 Os.upf
ATOMIC_POSITIONS crystal
Ru 0.500 0.000 0.000
Ru 0.000 0.000 0.500
Ru 0.000 0.500 0.000
Fe 0.000 0.000 0.000
Os 0.500 0.500 0.500
CELL_PARAMETERS angstrom
-2.276 3.203 -1.767
-3.411 -2.610 -0.337
-1.322 1.221 3.915
! ρ = 11.404 Mg/m³
! E above lowest polymorph = 0 meV per atom


(9)
! Ta2InIr2, relaxed, DFT PBE-GGA; values from VASP
&SYSTEM
  ibrav = 0, nat = 5, ntyp = 3
/
ATOMIC_SPECIES
Ir 192.22 Ir.upf
Ta 180.95 Ta.upf
In 114.82 In.upf
ATOMIC_POSITIONS crystal
Ir 0.377 0.377 0.245
Ta 0.250 0.750 0.500
Ta 0.750 0.250 0.500
Ir 0.623 0.623 0.755
In 0.000 0.000 0.000
CELL_PARAMETERS angstrom
4.394 0.000 0.000
0.000 4.394 0.000
2.197 2.197 5.238
! E_tot = -45.4 eV for the cell shown
! ρ = 14.143 Mg/m³


(10)
! BRh2Au, relaxed, DFT PBE-GGA; values from VASP
&SYSTEM
  ibrav = 0, nat = 4, ntyp = 3
/
ATOMIC_SPECIES
Rh 102.91 Rh.upf
Au 196.97 Au.upf
B 10.81 B.upf
ATOMIC_POSITIONS crystal
Rh 0.275 0.275 0.176
Au 0.501 0.501 0.498
Rh 0.058 0.058 0.825
B 0.666 0.666 0.001
CELL_PARAMETERS angstrom
-0.466 -0.331 -2.855
2.070 -1.158 -1.688
-2.222 -7.214 -0.287
! E_tot = -25.3 eV for the cell shown
! ρ = 12.703 Mg/m³


(11)
! K2Al3TlF12, relaxed, DFT PBE-GGA; values from VASP
&SYSTEM
  ibrav = 0, nat = 18, ntyp = 4
/
ATOMIC_SPECIES
F 19.00 F.upf
K 39.10 K.upf
Al 26.98 Al.upf
Tl 204.38 Tl.upf
ATOMIC_POSITIONS crystal
F 0.097 0.721 0.721
F 0.721 0.097 0.721
K 0.631 0.631 0.631
F 0.903 0.279 0.279
F 0.881 0.456 0.881
F 0.881 0.881 0.456
F 0.544 0.119 0.119
F 0.119 0.119 0.544
Al 0.000 0.500 0.000
F 0.119 0.544 0.119
Tl 0.000 0.000 0.000
F 0.721 0.721 0.097
F 0.279 0.279 0.903
Al 0.000 0.000 0.500
Al 0.500 0.000 0.000
K 0.369 0.369 0.369
F 0.279 0.903 0.279
F 0.456 0.881 0.881
CELL_PARAMETERS angstrom
-0.980 -7.194 -1.512
3.156 -3.299 -5.845
5.442 -4.989 0.711
! ρ = 3.604 Mg/m³
! Formation energy (no corrections) = -3.224 eV/atom


(12)
! EuSb2Pb, relaxed, DFT PBE-GGA; values from VASP
&SYSTEM
  ibrav = 0, nat = 4, ntyp = 3
/
ATOMIC_SPECIES
Sb 121.76 Sb.upf
Pb 207.20 Pb.upf
Eu 151.96 Eu.upf
ATOMIC_POSITIONS crystal
Sb 0.000 0.500 0.000
Pb 0.500 0.500 0.500
Eu 0.500 0.000 0.000
Sb 0.000 0.000 0.500
CELL_PARAMETERS angstrom
4.543 0.000 0.000
0.000 5.077 0.000
0.000 0.000 5.077
! ρ = 8.547 Mg/m³
! Formation energy (no corrections) = -0.477 eV/atom
! E above lowest polymorph = 0 meV per atom


(13)
! U2In2S7, relaxed, DFT PBE-GGA; values from VASP
&SYSTEM
  ibrav = 0, nat = 11, ntyp = 3
/
ATOMIC_SPECIES
In 114.82 In.upf
S 32.06 S.upf
U 238.03 U.upf
ATOMIC_POSITIONS crystal
In 0.730 0.862 0.678
S 0.881 0.403 0.836
S 0.500 0.998 0.002
U 0.500 0.332 0.668
S 0.812 0.073 0.303
S 0.602 0.511 0.284
In 0.270 0.322 0.138
S 0.188 0.697 0.927
S 0.398 0.716 0.489
U 0.000 0.774 0.226
S 0.119 0.164 0.597
CELL_PARAMETERS angstrom
3.874 0.000 0.000
1.937 8.473 0.271
1.937 4.256 7.332
! ρ = 6.539 Mg/m³
! Formation energy (no corrections) = -0.851 eV/atom


(14)
! Th2MgCo4Ge3, relaxed, DFT PBE-GGA; values from VASP
&SYSTEM
  ibrav = 0, nat = 10, ntyp = 4
/
ATOMIC_SPECIES
Th 232.04 Th.upf
Ge 72.64 Ge.upf
Mg 24.30 Mg.upf
Co 58.93 Co.upf
ATOMIC_POSITIONS crystal
Th 0.500 0.000 0.248
Ge 0.500 0.000 0.878
Th 0.000 0.500 0.752
Mg 0.500 0.500 0.500
Ge 0.000 0.500 0.122
Co 0.000 0.000 0.000
Ge 0.000 0.000 0.500
Co 0.500 0.500 0.000
Co 0.500 0.000 0.651
Co 0.000 0.500 0.349
CELL_PARAMETERS angstrom
-1.573 1.380 3.452
-3.697 -0.188 -1.609
-0.999 -9.729 3.434
! E_tot = -63.6 eV for the cell shown
! ρ = 9.263 Mg/m³


(15)
! ErTmTlBi, relaxed, DFT PBE-GGA; values from VASP
&SYSTEM
  ibrav = 0, nat = 4, ntyp = 4
/
ATOMIC_SPECIES
Tl 204.38 Tl.upf
Er 167.26 Er.upf
Bi 208.98 Bi.upf
Tm 168.93 Tm.upf
ATOMIC_POSITIONS crystal
Tl 0.000 0.000 0.000
Er 0.750 0.750 0.750
Bi 0.500 0.500 0.500
Tm 0.250 0.250 0.250
CELL_PARAMETERS angstrom
-5.024 -1.705 1.023
-3.313 -1.246 -4.082
-1.342 -5.153 -0.914
! E_tot = -16.7 eV for the cell shown
! ρ = 11.161 Mg/m³


(16)
! Li2ZrF6, relaxed, DFT PBE-GGA; values from VASP
&SYSTEM
  ibrav = 0, nat = 36, ntyp = 3
/
ATOMIC_SPECIES
F 19.00 F.upf
Li 6.94 Li.upf
Zr 91.22 Zr.upf
ATOMIC_POSITIONS crystal
F 0.312 0.545 0.928
Li 0.504 0.591 0.307
Li 0.496 0.409 0.693
F 0.855 0.755 0.899
F 0.138 0.896 0.326
F 0.726 0.048 0.956
F 0.355 0.245 0.601
F 0.812 0.455 0.572
F 0.145 0.245 0.101
F 0.778 0.400 0.345
F 0.645 0.755 0.399
F 0.253 0.249 0.849
F 0.722 0.400 0.845
Li 0.531 0.963 0.661
Zr 0.488 0.254 0.999
Li 0.969 0.963 0.161
F 0.274 0.952 0.044
Zr 0.988 0.746 0.501
Li 0.004 0.409 0.193
F 0.247 0.249 0.349
F 0.862 0.104 0.674
F 0.753 0.751 0.651
F 0.688 0.455 0.072
F 0.638 0.104 0.174
F 0.747 0.751 0.151
F 0.774 0.048 0.456
Zr 0.512 0.746 0.001
Li 0.996 0.591 0.807
F 0.226 0.952 0.544
F 0.362 0.896 0.826
Li 0.469 0.037 0.339
F 0.188 0.545 0.428
F 0.278 0.600 0.155
Zr 0.012 0.254 0.499
F 0.222 0.600 0.655
Li 0.031 0.037 0.839
CELL_PARAMETERS angstrom
5.020 0.000 0.000
0.000 7.563 0.004
0.000 3.261 10.634
! ρ = 3.605 Mg/m³
! Formation energy (no corrections) = -3.392 eV/atom
! E above lowest polymorph = 5 meV per atom


(17)
! TaGaTePb2, relaxed, DFT PBE-GGA; values from VASP
&SYSTEM
  ibrav = 0, nat = 5, ntyp = 4
/
ATOMIC_SPECIES
Te 127.60 Te.upf
Ta 180.95 Ta.upf
Pb 207.20 Pb.upf
Ga 69.72 Ga.upf
ATOMIC_POSITIONS crystal
Te 0.000 0.500 0.000
Ta 0.500 0.500 0.500
Pb 0.500 0.000 0.000
Pb 0.000 0.000 0.500
Ga 0.000 0.000 0.000
CELL_PARAMETERS angstrom
5.283 0.000 0.000
0.000 5.309 0.000
0.000 0.000 5.283
! ρ = 8.883 Mg/m³
! Formation energy (no corrections) = 1.275 eV/atom


(18)
! SiAg4F8, relaxed, DFT PBE-GGA; values from VASP
&SYSTEM
  ibrav = 0, nat = 13, ntyp = 3
/
ATOMIC_SPECIES
Ag 107.87 Ag.upf
F 19.00 F.upf
Si 28.09 Si.upf
ATOMIC_POSITIONS crystal
Ag 0.500 0.000 0.500
F 0.681 0.681 0.305
Ag 0.000 0.000 0.000
Ag 0.000 0.500 0.500
F 0.733 0.733 0.733
Ag 0.500 0.500 0.000
F 0.695 0.319 0.319
F 0.267 0.267 0.267
F 0.305 0.681 0.681
Si 0.500 0.500 0.500
F 0.319 0.319 0.695
F 0.319 0.695 0.319
F 0.681 0.305 0.681
CELL_PARAMETERS angstrom
-1.966 2.479 -6.275
1.666 -2.917 -6.173
-4.563 -3.154 -4.315
! ρ = 4.665 Mg/m³
! Formation energy (no corrections) = -1.717 eV/atom


(19)
! NpUCuTc, relaxed, DFT PBE-GGA; values from VASP
&SYSTEM
  ibrav = 0, nat = 4, ntyp = 4
/
ATOMIC_SPECIES
Tc 98.00 Tc.upf
Cu 63.55 Cu.upf
U 238.03 U.upf
Np 237.00 Np.upf
ATOMIC_POSITIONS crystal
Tc 0.000 0.000 0.000
Cu 0.250 0.250 0.250
U 0.750 0.750 0.750
Np 0.500 0.500 0.500
CELL_PARAMETERS angstrom
4.571 0.000 0.000
2.285 3.958 0.000
2.285 1.319 3.732
! E_tot = -38.7 eV for the cell shown
! ρ = 15.655 Mg/m³


(20)
! KTmMgF6, relaxed, DFT PBE-GGA; values from VASP
&SYSTEM
  ibrav = 0, nat = 18, ntyp = 4
/
ATOMIC_SPECIES
K 39.10 K.upf
F 19.00 F.upf
Mg 24.30 Mg.upf
Tm 168.93 Tm.upf
ATOMIC_POSITIONS crystal
K 0.160 0.410 0.320
F 0.831 0.619 0.268
F 0.143 0.893 0.286
F 0.418 0.168 0.836
F 0.563 0.381 0.732
F 0.563 0.851 0.732
Mg 0.500 0.000 0.000
F 0.857 0.107 0.714
Tm 0.500 0.000 0.500
F 0.831 0.149 0.268
Mg 0.500 0.500 0.000
F 0.437 0.619 0.268
K 0.840 0.590 0.680
F 0.169 0.381 0.732
Tm 0.000 0.000 0.500
F 0.169 0.851 0.732
F 0.582 0.832 0.164
F 0.437 0.149 0.268
CELL_PARAMETERS angstrom
7.470 0.000 0.000
0.000 7.095 0.000
-3.735 -3.547 5.103
! ρ = 4.253 Mg/m³
! Formation energy (no corrections) = -3.606 eV/atom